Entry a
The following is a PBE-GGA calculation of crystalline Ag2SeCl at its relaxed geometry, from the Alexandria database.

Cell: 7.377 7.377 7.377 Å, 31.87 31.87 31.87°
Fractional positions:
Ag 0.000 0.000 0.000
Ag 0.252 0.252 0.252
Se 0.715 0.715 0.715
Cl 0.529 0.529 0.529

Computed properties:
Size of the total moment (μB/f.u.): 0.0
Symmetry: R3m, No. 160
N(E_F) (states/eV/f.u.): 3.92

***

Entry b
The following is a PBE-GGA calculation of crystalline Ag2SeCl at its relaxed geometry, from the Alexandria database.

Cell: 3.382 4.088 6.758 Å, 90.00 90.00 90.00°
Fractional positions:
Ag 0.000 0.000 0.000
Ag 0.000 0.500 0.500
Se 0.500 0.000 0.500
Cl 0.500 0.500 0.000

Computed properties:
Size of the total moment (μB/f.u.): 0.0
Symmetry: Pmmm, No. 47
N(E_F) (states/eV/f.u.): 1.72

***

Quick one: least stable of them? entry a

***

Entry a
The following is a PBE-GGA calculation of crystalline Ag2SeCl at its relaxed geometry, from the Alexandria database.

Cell: 7.244 7.244 7.244 Å, 152.11 150.13 41.32°
Fractional positions:
Ag 0.000 0.000 0.000
Ag 0.725 0.225 0.500
Se 0.566 0.566 0.000
Cl 0.317 0.817 0.500

Computed properties:
Size of the total moment (μB/f.u.): 0.0
Symmetry: Imm2, No. 44
N(E_F) (states/eV/f.u.): 1.65

***

Entry b
The following is a PBE-GGA calculation of crystalline Ag2SeCl at its relaxed geometry, from the Alexandria database.

Cell: 7.439 6.958 7.203 Å, 90.00 96.20 90.00°
Fractional positions:
Ag 0.147 0.208 0.076
Ag 0.147 0.292 0.576
Ag 0.346 0.593 0.100
Ag 0.346 0.907 0.600
Ag 0.654 0.093 0.400
Ag 0.654 0.407 0.900
Ag 0.853 0.708 0.424
Ag 0.853 0.792 0.924
Se 0.415 0.120 0.899
Se 0.415 0.380 0.399
Se 0.585 0.620 0.601
Se 0.585 0.880 0.101
Cl 0.118 0.634 0.800
Cl 0.118 0.866 0.300
Cl 0.882 0.134 0.700
Cl 0.882 0.366 0.200

Computed properties:
Size of the total moment (μB/f.u.): 0.0
Symmetry: P2_1/c, No. 14

***

Entry c
The following is a PBE-GGA calculation of crystalline Ag2SeCl at its relaxed geometry, from the Alexandria database.

Cell: 5.068 5.068 3.113 Å, 90.00 90.00 90.00°
Fractional positions:
Ag 0.000 0.500 0.000
Ag 0.500 0.000 0.000
Se 0.000 0.000 0.500
Cl 0.500 0.500 0.500

Computed properties:
Size of the total moment (μB/f.u.): 0.0
Symmetry: P4/mmm, No. 123
N(E_F) (states/eV/f.u.): 1.64

***

Quick one: least stable of them? entry c